Material: Pr3Si3Rh
Method: DFT, PBE
State: optimized geometry

The structure in CIF format:
```
data_Pr3Si3Rh
_chemical_formula_sum 'Pr12 Si12 Rh4'
_cell_length_a 11.137
_cell_length_b 4.364
_cell_length_c 14.026
_cell_angle_alpha 90.00
_cell_angle_beta 111.39
_cell_angle_gamma 90.00
_symmetry_space_group_name_H-M 'C 1 2/m 1'
_symmetry_Int_Tables_number 12
_symmetry_space_group_name_Hall '-C 2y'
loop_
_atom_site_label
_atom_site_type_symbol
_atom_site_fract_x
_atom_site_fract_y
_atom_site_fract_z
Pr1 Pr 0.019 0.000 0.376
Pr2 Pr 0.102 0.000 0.920
Pr3 Pr 0.247 0.000 0.228
Si1 Si 0.058 0.500 0.239
Si2 Si 0.106 0.500 0.075
Si3 Si 0.141 0.500 0.544
Rh1 Rh 0.244 0.500 0.419
```

Output
E: -6.235 eV/atom